The following is a DFT calculation (PBE) of KAl3Re after structural relaxation.

a = 5.147 Å, b = 5.147 Å, c = 5.147 Å
α = 90.00°, β = 90.00°, γ = 90.00°
Space group Pm-3m (No. 221)
Unique sites:
K1 0.000 0.000 0.000 [1 per cell]
Al1 0.000 0.000 0.500 [3 per cell]
Re1 0.500 0.500 0.500 [1 per cell]

Results
Energy of formation, eV/atom: 2.5518

---

The following is a DFT calculation (PBE) of CeEuCu2 after structural relaxation.

a = 4.0229 Å, b = 4.0229 Å, c = 22.4639 Å
α = 90.00°, β = 90.00°, γ = 120.00°
Space group R-3m (No. 166, hexagonal axes)
Unique sites:
Ce1 0.0000 0.0000 0.0000 [3 per cell]
Eu1 0.0000 0.0000 0.5000 [3 per cell]
Cu1 0.0000 0.0000 0.2553 [6 per cell]

Results
Energy of formation, eV/atom: 0.1373

---

The following is a DFT calculation (PBE) of Pr12Ag5As3 after structural relaxation.

a = 17.644 Å, b = 17.644 Å, c = 17.644 Å
α = 90.00°, β = 90.00°, γ = 90.00°
Space group Ia-3d (No. 230)
Unique sites:
Pr1 0.017 0.076 0.650 [96 per cell]
Ag1 0.000 0.000 0.000 [16 per cell]
Ag2 0.000 0.250 0.375 [24 per cell]
As1 0.000 0.250 0.125 [24 per cell]

Results
Energy of formation, eV/atom: -0.0877